(1)
Computed, not measured: a relaxed Ba2PbAu2O6 crystal at the PBE level of DFT.

Summary:
Uncorrected energy: -5.04 eV per atom
Energy relative to the elements, uncorrected: -1.054 eV/atom
Density of states at the Fermi level: 5.54 states/eV/f.u.

abc: 6.8727 6.8727 6.8727
angles: 55.44 55.44 55.44
Closest atoms and distances in Å follow each position.
Element x y z (fractional)
Ba: 0.2154 0.2154 0.2154  3 O 2.73
Ba: 0.7846 0.7846 0.7846  3 O 2.73
Pb: 0.0000 0.0000 0.0000  6 O 2.22
Au: 0.4134 0.4134 0.4134  3 O 2.09
Au: 0.5866 0.5866 0.5866  3 O 2.09
O: 0.2018 0.7667 0.7667  1 Au 2.09, 1 Pb 2.22
O: 0.2333 0.2333 0.7982  1 Au 2.09, 1 Pb 2.22
O: 0.2333 0.7982 0.2333  1 Au 2.09, 1 Pb 2.22
O: 0.7667 0.2018 0.7667  1 Au 2.09, 1 Pb 2.22
O: 0.7667 0.7667 0.2018  1 Au 2.09, 1 Pb 2.22
O: 0.7982 0.2333 0.2333  1 Au 2.09, 1 Pb 2.22



(2)
Computed, not measured: a relaxed SrMg2Al2 crystal at the PBE level of DFT.

Summary:
Uncorrected energy: -2.57 eV per atom
Density of states at the Fermi level: 2.27 states/eV/f.u.

abc: 6.3505 6.3505 5.3100
angles: 104.24 104.24 40.31
Closest atoms and distances in Å follow each position.
Element x y z (fractional)
Sr: 0.0000 0.0000 0.0000  6 Al 3.43-3.44, 4 Mg 3.73
Mg: 0.3610 0.3610 0.4354  4 Al 2.84-2.94
Mg: 0.6390 0.6390 0.5646  4 Al 2.84-2.94
Al: 0.2700 0.2700 0.8788  2 Al 2.65, 4 Mg 2.84-2.94
Al: 0.7300 0.7300 0.1212  2 Al 2.65, 4 Mg 2.84-2.94



(3)
Computed, not measured: a relaxed TbTmTlHg crystal at the PBE level of DFT.

Summary:
Uncorrected energy: -3.34 eV per atom
Polymorph energy (0 for the lowest one): 7 meV/atom
Density of states at the Fermi level: 4.29 states/eV/f.u.

abc: 5.2989 5.2989 5.2989
angles: 60.00 60.00 60.00
Closest atoms and distances in Å follow each position.
Element x y z (fractional)
Tb: 0.0000 0.0000 0.0000  4 Tl 3.24, 4 Hg 3.24
Tm: 0.5000 0.5000 0.5000  4 Hg 3.24, 4 Tl 3.24
Tl: 0.2500 0.2500 0.2500  4 Tm 3.24, 4 Tb 3.24
Hg: 0.7500 0.7500 0.7500  4 Tm 3.24, 4 Tb 3.24



(4)
Computed, not measured: a relaxed Ce2TiWN6 crystal at the PBE level of DFT.

Summary:
Uncorrected energy: -9.43 eV per atom
Energy relative to the elements, uncorrected: -1.165 eV/atom
Density of states at the Fermi level: 0.17 states/eV/f.u.

abc: 5.5291 5.6394 9.5865
angles: 90.00 125.17 90.00
Closest atoms and distances in Å follow each position.
Element x y z (fractional)
Ce: 0.2443 0.0494 0.2507  4 N 2.33-2.46
Ce: 0.2443 0.4506 0.7507  4 N 2.33-2.46
Ce: 0.7557 0.5494 0.2493  4 N 2.33-2.46
Ce: 0.7557 0.9506 0.7493  4 N 2.33-2.46
Ti: 0.5000 0.0000 0.0000  6 N 2.04-2.08
Ti: 0.5000 0.5000 0.5000  6 N 2.04-2.08
W: 0.0000 0.0000 0.5000  6 N 2.02-2.05
W: 0.0000 0.5000 0.0000  6 N 2.02-2.05
N: 0.1484 0.2002 0.9513  1 W 2.05, 1 Ti 2.06
N: 0.1484 0.2998 0.4513  1 W 2.05, 1 Ti 2.06
N: 0.2514 0.6960 0.9529  1 W 2.02, 1 Ti 2.08
N: 0.2514 0.8040 0.4529  1 W 2.02, 1 Ti 2.08
N: 0.3401 0.0260 0.7483  1 W 2.02, 1 Ti 2.04
N: 0.3401 0.4740 0.2483  1 W 2.02, 1 Ti 2.04
N: 0.6599 0.5260 0.7517  1 W 2.02, 1 Ti 2.04
N: 0.6599 0.9740 0.2517  1 W 2.02, 1 Ti 2.04
N: 0.7486 0.1960 0.5471  1 W 2.02, 1 Ti 2.08
N: 0.7486 0.3040 0.0471  1 W 2.02, 1 Ti 2.08
N: 0.8516 0.7002 0.5487  1 W 2.05, 1 Ti 2.06
N: 0.8516 0.7998 0.0487  1 W 2.05, 1 Ti 2.06



(5)
Computed, not measured: a relaxed Sr2LaCd2 crystal at the PBE level of DFT.

Summary:
Uncorrected energy: -2.22 eV per atom
Polymorph energy (0 for the lowest one): 37 meV/atom
Density of states at the Fermi level: 6.57 states/eV/f.u.

abc: 8.2286 8.2286 5.4322
angles: 90.00 90.00 90.00
Closest atoms and distances in Å follow each position.
Element x y z (fractional)
Sr: 0.1734 0.3266 0.0000  6 Cd 3.59-3.68
Sr: 0.3266 0.8266 0.0000  6 Cd 3.59-3.68
Sr: 0.6734 0.1734 0.0000  6 Cd 3.59-3.68
Sr: 0.8266 0.6734 0.0000  6 Cd 3.59-3.68
La: 0.0000 0.0000 0.5000  4 Cd 3.25
La: 0.5000 0.5000 0.5000  4 Cd 3.25
Cd: 0.1249 0.6249 0.5000  1 Cd 2.91, 2 La 3.25
Cd: 0.3751 0.1249 0.5000  1 Cd 2.91, 2 La 3.25
Cd: 0.6249 0.8751 0.5000  1 Cd 2.91, 2 La 3.25
Cd: 0.8751 0.3751 0.5000  1 Cd 2.91, 2 La 3.25



(6)
Computed, not measured: a relaxed HoBe3As3 crystal at the PBE level of DFT.

Summary:
Uncorrected energy: -4.77 eV per atom
Density of states at the Fermi level: 0.18 states/eV/f.u.

abc: 7.6131 7.6131 7.6131
angles: 51.67 51.67 51.67
Closest atoms and distances in Å follow each position.
Element x y z (fractional)
Ho: 0.1663 0.1663 0.1663  6 As 2.86
Ho: 0.8337 0.8337 0.8337  6 As 2.86
Be: 0.0396 0.7147 0.3726  4 As 2.29-2.34
Be: 0.2853 0.6274 0.9604  4 As 2.29-2.34
Be: 0.3726 0.0396 0.7147  4 As 2.29-2.34
Be: 0.6274 0.9604 0.2853  4 As 2.29-2.34
Be: 0.7147 0.3726 0.0396  4 As 2.29-2.34
Be: 0.9604 0.2853 0.6274  4 As 2.29-2.34
As: 0.0827 0.4106 0.7358  4 Be 2.29-2.34
As: 0.2642 0.9173 0.5894  4 Be 2.29-2.34
As: 0.4106 0.7358 0.0827  4 Be 2.29-2.34
As: 0.5894 0.2642 0.9173  4 Be 2.29-2.34
As: 0.7358 0.0827 0.4106  4 Be 2.29-2.34
As: 0.9173 0.5894 0.2642  4 Be 2.29-2.34



(7)
Computed, not measured: a relaxed Cs4ZrS4 crystal at the PBE level of DFT.

Summary:
Uncorrected energy: -4.55 eV per atom
Energy relative to the elements, uncorrected: -1.382 eV/atom
Density of states at the Fermi level: 0.00 states/eV/f.u.

abc: 9.6851 9.6851 7.7356
angles: 90.00 90.00 90.00
Closest atoms and distances in Å follow each position.
Element x y z (fractional)
Cs: 0.0299 0.2500 0.1155  5 S 3.57-3.64, 1 Zr 3.92
Cs: 0.2500 0.0299 0.6155  5 S 3.57-3.64, 1 Zr 3.92
Cs: 0.2500 0.4701 0.6155  5 S 3.57-3.64, 1 Zr 3.92
Cs: 0.4701 0.2500 0.1155  5 S 3.57-3.64, 1 Zr 3.92
Cs: 0.5299 0.7500 0.8845  5 S 3.57-3.64, 1 Zr 3.92
Cs: 0.7500 0.5299 0.3845  5 S 3.57-3.64, 1 Zr 3.92
Cs: 0.7500 0.9701 0.3845  5 S 3.57-3.64, 1 Zr 3.92
Cs: 0.9701 0.7500 0.8845  5 S 3.57-3.64, 1 Zr 3.92
Zr: 0.2500 0.7500 0.2500  4 S 2.43
Zr: 0.7500 0.2500 0.7500  4 S 2.43
S: 0.0456 0.7500 0.4329  1 Zr 2.43
S: 0.2500 0.5456 0.0671  1 Zr 2.43
S: 0.2500 0.9544 0.0671  1 Zr 2.43
S: 0.4544 0.7500 0.4329  1 Zr 2.43
S: 0.5456 0.2500 0.5671  1 Zr 2.43
S: 0.7500 0.0456 0.9329  1 Zr 2.43
S: 0.7500 0.4544 0.9329  1 Zr 2.43
S: 0.9544 0.2500 0.5671  1 Zr 2.43



(8)
Computed, not measured: a relaxed CePdO crystal at the PBE level of DFT.

Summary:
Uncorrected energy: -7.03 eV per atom
Energy relative to the elements, uncorrected: -1.673 eV/atom
Density of states at the Fermi level: 4.71 states/eV/f.u.

abc: 8.0699 8.0699 8.0699
angles: 153.05 153.05 38.48
Closest atoms and distances in Å follow each position.
Element x y z (fractional)
Ce: 0.0946 0.0946 0.0000  4 O 2.37
Ce: 0.9054 0.9054 0.0000  4 O 2.37
Pd: 0.2818 0.2818 0.0000  4 Pd 2.83, 1 Ce 2.85
Pd: 0.7182 0.7182 0.0000  4 Pd 2.83, 1 Ce 2.85
O: 0.0000 0.5000 0.5000  4 Ce 2.37
O: 0.5000 0.0000 0.5000  4 Ce 2.37



(9)
Computed, not measured: a relaxed PaIn3 crystal at the PBE level of DFT.

Summary:
Uncorrected energy: -4.42 eV per atom
Polymorph energy (0 for the lowest one): 138 meV/atom
Density of states at the Fermi level: 5.55 states/eV/f.u.

abc: 6.4490 6.4490 6.4490
angles: 151.77 62.53 125.47
Closest atoms and distances in Å follow each position.
Element x y z (fractional)
Pa: 0.0000 0.0000 0.0000  2 Pa 3.15, 10 In 3.32-3.37
In: 0.4350 0.6870 0.7480  9 In 3.15-3.37, 3 Pa 3.34
In: 0.5048 0.0048 0.5000  8 In 3.15-3.37, 4 Pa 3.32-3.37
In: 0.9390 0.6870 0.2520  9 In 3.15-3.37, 3 Pa 3.34



(10)
Computed, not measured: a relaxed KSmPb2 crystal at the PBE level of DFT.

Summary:
Uncorrected energy: -3.52 eV per atom
Polymorph energy (0 for the lowest one): 102 meV/atom
Density of states at the Fermi level: 2.61 states/eV/f.u.

abc: 5.8672 5.8672 3.7343
angles: 90.00 90.00 90.00
Closest atoms and distances in Å follow each position.
Element x y z (fractional)
K: 0.0000 0.0000 0.0000  8 Pb 3.48, 2 K 3.73
Sm: 0.5000 0.5000 0.0000  8 Pb 3.48, 2 Sm 3.73
Pb: 0.0000 0.5000 0.5000  4 K 3.48, 4 Sm 3.48, 2 Pb 3.73
Pb: 0.5000 0.0000 0.5000  4 K 3.48, 4 Sm 3.48, 2 Pb 3.73



(11)
Computed, not measured: a relaxed Na6CdHg10 crystal at the PBE level of DFT.

Summary:
Uncorrected energy: -0.89 eV per atom
Density of states at the Fermi level: 5.61 states/eV/f.u.

abc: 9.1602 9.1602 6.1811
angles: 90.00 90.00 120.00
Closest atoms and distances in Å follow each position.
Element x y z (fractional)
Na: 0.0000 0.3787 0.2848  9 Hg 3.11-3.40, 1 Na 3.47
Na: 0.0000 0.6213 0.7152  9 Hg 3.11-3.40, 1 Na 3.47
Na: 0.3787 0.0000 0.2848  9 Hg 3.11-3.40, 1 Na 3.47
Na: 0.3787 0.3787 0.7152  9 Hg 3.11-3.40, 1 Na 3.47
Na: 0.6213 0.0000 0.7152  9 Hg 3.11-3.40, 1 Na 3.47
Na: 0.6213 0.6213 0.2848  9 Hg 3.11-3.40, 1 Na 3.47
Cd: 0.0000 0.0000 0.5000  6 Hg 3.10
Hg: 0.0000 0.2671 0.8091  1 Cd 3.10, 5 Na 3.11-3.40, 2 Hg 3.40
Hg: 0.0000 0.7329 0.1909  1 Cd 3.10, 5 Na 3.11-3.40, 2 Hg 3.40
Hg: 0.2671 0.0000 0.8091  1 Cd 3.10, 5 Na 3.11-3.40, 2 Hg 3.40
Hg: 0.2671 0.2671 0.1909  1 Cd 3.10, 5 Na 3.11-3.40, 2 Hg 3.40
Hg: 0.3333 0.6667 0.0000  2 Hg 3.09, 6 Na 3.37
Hg: 0.3333 0.6667 0.5000  2 Hg 3.09, 6 Na 3.16
Hg: 0.6667 0.3333 0.0000  2 Hg 3.09, 6 Na 3.37
Hg: 0.6667 0.3333 0.5000  2 Hg 3.09, 6 Na 3.16
Hg: 0.7329 0.0000 0.1909  1 Cd 3.10, 5 Na 3.11-3.40, 2 Hg 3.40
Hg: 0.7329 0.7329 0.8091  1 Cd 3.10, 5 Na 3.11-3.40, 2 Hg 3.40



(12)
Computed, not measured: a relaxed BaLiGe2 crystal at the PBE level of DFT.

Summary:
Uncorrected energy: -3.39 eV per atom
Polymorph energy (0 for the lowest one): 413 meV/atom
Density of states at the Fermi level: 3.41 states/eV/f.u.

abc: 5.2850 5.2850 5.2850
angles: 60.00 60.00 60.00
Closest atoms and distances in Å follow each position.
Element x y z (fractional)
Ba: 0.0000 0.0000 0.0000  8 Ge 3.24
Li: 0.5000 0.5000 0.5000  8 Ge 3.24
Ge: 0.2500 0.2500 0.2500  4 Ba 3.24, 4 Li 3.24
Ge: 0.7500 0.7500 0.7500  4 Ba 3.24, 4 Li 3.24



Repeat the tenth record exactly.
Computed, not measured: a relaxed KSmPb2 crystal at the PBE level of DFT.

Summary:
Uncorrected energy: -3.52 eV per atom
Polymorph energy (0 for the lowest one): 102 meV/atom
Density of states at the Fermi level: 2.61 states/eV/f.u.

abc: 5.8672 5.8672 3.7343
angles: 90.00 90.00 90.00
Closest atoms and distances in Å follow each position.
Element x y z (fractional)
K: 0.0000 0.0000 0.0000  8 Pb 3.48, 2 K 3.73
Sm: 0.5000 0.5000 0.0000  8 Pb 3.48, 2 Sm 3.73
Pb: 0.0000 0.5000 0.5000  4 K 3.48, 4 Sm 3.48, 2 Pb 3.73
Pb: 0.5000 0.0000 0.5000  4 K 3.48, 4 Sm 3.48, 2 Pb 3.73